The following is a DFT calculation (PBE with a Hubbard U) of a relaxed Cs3Dy2MnO6 crystal.

Summary:
energy = -149.7 eV for the cell shown
total magnetization = 3.98 μB per formula unit

```
data_Cs3Dy2MnO6
_chemical_formula_sum 'Cs6 Dy4 Mn2 O12'
_cell_length_a 6.2499
_cell_length_b 10.2015
_cell_length_c 7.2257
_cell_angle_alpha 90.00
_cell_angle_beta 109.11
_cell_angle_gamma 90.00
_space_group_name_H-M_alt 'C 1 2/m 1'
_space_group_IT_number 12
_space_group_name_Hall '-C 2y'
loop_
_atom_site_label
_atom_site_fract_x
_atom_site_fract_y
_atom_site_fract_z
Cs1 0.0000 0.0000 0.0000
Cs2 0.0000 0.3339 0.0000
Dy1 0.0000 0.1633 0.5000
Mn1 0.0000 0.5000 0.5000
O1 0.2010 0.0000 0.6908
O2 0.2072 0.3511 0.6455
```